1.
ZnCrIn2 | GGA-PBEsol | relaxed

Results
* calculated formation energy: 0.300 eV per atom
* magnetization: 2.9 μB per formula unit

The structure in extended XYZ format:
```
4
Lattice="3.103 0.000 0.000 0.000 3.103 0.000 0.000 0.000 7.770" Properties=species:S:1:pos:R:3 pbc="T T T"
Zn 0.000 0.000 0.000
Cr 1.552 1.552 1.379
In 0.000 0.000 3.153
In 1.552 1.552 5.733
```

2.
Dy3Ga5O12 | GGA-PBEsol | relaxed

Results
* uncorrected formation energy: -2.62 eV/atom
* magnetization: 0.0 μB per formula unit

The structure in extended XYZ format:
```
80
Lattice="-6.126 6.126 6.126 6.126 -6.126 6.126 6.126 6.126 -6.126" Properties=species:S:1:pos:R:3 pbc="T T T"
Dy 3.063 1.531 0.000
Dy 6.126 3.063 -1.531
Dy 1.531 0.000 3.063
Dy 7.657 0.000 3.063
Dy 0.000 3.063 1.531
Dy 3.063 -1.531 6.126
Dy 3.063 7.657 0.000
Dy 6.126 3.063 4.594
Dy -1.531 6.126 3.063
Dy 4.594 6.126 3.063
Dy 0.000 3.063 7.657
Dy 3.063 4.594 6.126
Ga 0.000 0.000 0.000
Ga 3.063 3.063 -3.063
Ga 3.063 -3.063 3.063
Ga 6.126 0.000 0.000
Ga 9.188 1.531 0.000
Ga 6.126 -3.063 4.594
Ga 4.594 6.126 -3.063
Ga 4.594 0.000 3.063
Ga 3.063 4.594 0.000
Ga 6.126 3.063 1.531
Ga -3.063 3.063 3.063
Ga 0.000 6.126 0.000
Ga 0.000 0.000 6.126
Ga 3.063 3.063 3.063
Ga 0.000 3.063 4.594
Ga 3.063 1.531 6.126
Ga 1.531 6.126 3.063
Ga 1.531 0.000 9.188
Ga 0.000 9.188 1.531
Ga -3.063 4.594 6.126
O 1.840 -0.332 0.694
O 7.348 3.756 -3.395
O 7.965 0.332 0.694
O 7.348 -2.369 3.395
O 5.794 -0.694 1.840
O 9.520 -1.223 2.369
O 0.694 1.840 -0.332
O 8.495 2.731 -1.223
O 3.756 3.395 -1.223
O 5.432 1.840 0.332
O -0.332 0.694 1.840
O 3.395 -1.223 3.756
O 5.794 5.432 -1.840
O 3.395 1.223 2.369
O 3.756 -3.395 7.348
O 5.432 -1.840 5.794
O 2.369 3.395 1.223
O 6.819 4.286 0.332
O 3.395 7.348 -2.369
O 5.794 0.694 4.286
O 1.840 5.794 -0.694
O 7.348 2.369 2.731
O 1.223 2.369 3.395
O 1.840 0.332 5.432
O 4.286 5.794 0.694
O 4.903 3.756 2.731
O -1.223 3.756 3.395
O 4.286 0.332 6.819
O 0.332 5.432 1.840
O 2.731 -1.223 8.495
O -0.694 1.840 5.794
O 3.756 2.731 4.903
O 0.694 7.965 0.332
O 2.369 9.520 -1.223
O 2.731 4.903 3.756
O 0.332 0.694 7.965
O 2.731 7.348 2.369
O 6.457 5.432 4.286
O 0.694 4.286 5.794
O 2.369 2.731 7.348
O -2.369 3.395 7.348
O 5.432 4.286 6.457
O -3.395 7.348 3.756
O 0.332 6.819 4.286
O -1.223 8.495 2.731
O -1.840 5.794 5.432
O -1.223 2.369 9.520
O 4.286 6.457 5.432
```

3.
TaCu2Mo | GGA-PBEsol | relaxed

Results
* calculated formation energy: 0.288 eV per atom
* magnetization: 0.0 μB per formula unit

The structure in extended XYZ format:
```
4
Lattice="1.363 0.787 8.923 -1.363 0.787 8.923 0.000 -1.573 8.923" Properties=species:S:1:pos:R:3 pbc="T T T"
Ta 0.000 0.000 0.000
Cu 0.000 0.000 13.149
Cu 0.000 0.000 20.102
Mo 0.000 0.000 6.411
```

4.
ScCu2Si | GGA-PBEsol | relaxed

Results
* uncorrected formation energy: -0.16 eV/atom
* magnetization: 0.0 μB per formula unit

The structure in extended XYZ format:
```
4
Lattice="3.198 0.000 0.000 0.000 3.198 0.000 0.000 0.000 5.651" Properties=species:S:1:pos:R:3 pbc="T T T"
Sc 0.000 0.000 0.000
Cu 1.599 1.599 1.540
Cu 1.599 1.599 4.110
Si 0.000 0.000 2.825
```

5.
MnTeP2O | GGA-PBEsol | relaxed

Results
* uncorrected formation energy: 0.46 eV/atom
* magnetization: 0.0 μB per formula unit

The structure in extended XYZ format:
```
5
Lattice="4.029 0.000 0.000 0.000 4.029 0.000 0.000 0.000 5.397" Properties=species:S:1:pos:R:3 pbc="T T T"
Mn 0.000 0.000 0.000
Te 0.000 0.000 2.698
P 0.000 2.014 0.000
P 2.014 0.000 0.000
O 2.014 2.014 2.698
```

6.
Cs2PPt | GGA-PBEsol | relaxed

Results
* calculated formation energy: -0.337 eV per atom
* magnetization: 0.0 μB per formula unit

The structure in extended XYZ format:
```
8
Lattice="-6.506 6.506 2.202 6.506 -6.506 2.202 6.506 6.506 -2.202" Properties=species:S:1:pos:R:3 pbc="T T T"
Cs -0.846 3.253 0.551
Cs 3.253 5.660 1.652
Cs 0.846 9.759 0.551
Cs -3.253 7.353 1.652
P 6.506 0.000 1.101
P 0.000 0.000 2.202
Pt 0.000 0.000 0.000
Pt 0.000 6.506 1.101
```